Entry from Alexandria: crystalline YAs2Pd6 at its relaxed geometry (PBE).

Calculated values
ΔE_f: -4.5 eV per formula unit
Space group: Immm (71)
Crystal system: orthorhombic
Calculated total energy: -5.7094 eV per atom

```
9
Lattice="4.1552 0.3535 1.0099 1.1289 6.2044 2.2886 0.5654 0.2871 6.6787" Properties=species:S:1:pos:R:3 pbc="T T T"
As 2.4326 4.6501 6.5801
Pd 3.0409 4.6418 4.0840
Y 4.1552 0.3535 1.0098
As 3.4170 2.1949 3.3971
Pd 4.6760 5.8291 6.0506
Pd 1.1735 1.0159 3.9266
Pd 1.3916 3.3057 2.2277
Pd 2.8087 2.2032 5.8932
Pd 4.4580 3.5393 7.7495
```